An optimized crystal structure of BaSr2Ge2, computed with GGA-PBEsol.

```
BaSr2Ge2
1.0
-5.3388 1.4436 -1.3016
-1.6136 -1.1703 5.3205
4.5605 5.2350 -0.4990
Sr Ba Ge
2 1 2
Direct
0.6612 0.6612 0.3223
0.3388 0.3388 0.6777
0.0000 0.0000 0.0000
0.2500 0.7500 0.5000
0.7500 0.2500 0.5000
```

Values from the calculation:
Space-group type: I4/mmm
Formation energy: -201.1 meV/atom
Calculated total energy: -3.34 eV/atom

An optimized crystal structure of Sr3MoSe, computed with GGA-PBEsol.

```
Sr3MoSe
1.0
-3.8470 -3.2020 2.2148
-1.0890 -2.1043 -4.9339
3.7379 -3.9086 0.8420
Mo Se Sr
1 1 3
Direct
0.0000 0.0000 0.0000
0.5000 0.5000 0.5000
0.0000 0.0000 0.5000
0.0000 0.5000 0.0000
0.5000 0.0000 0.0000
```

Values from the calculation:
Formation energy (no corrections): 463 meV per atom
Space-group type: Pm-3m
Calculated total energy: -3.77 eV/atom

An optimized crystal structure of BaMn2Ni, computed with GGA-PBEsol.

```
BaMn2Ni
1.0
-3.7840 0.2412 1.2869
0.5159 -3.3426 2.1433
1.3849 2.5218 3.5995
Mn Ba Ni
2 1 1
Direct
0.0000 0.5000 0.0000
0.5000 0.0000 0.0000
0.0000 0.0000 0.5000
0.5000 0.5000 0.5000
```

Values from the calculation:
Space-group type: P4/mmm
Formation energy: 971.6 meV/atom
Calculated total energy: -5.99 eV/atom
Excess energy over the best structure of this formula in the dataset: 0.583 eV per atom

An optimized crystal structure of Er2Re2Si2C, computed with GGA-PBEsol.

```
Er2Re2Si2C
1.0
-0.7549 -3.4694 1.6677
4.9052 -2.6102 1.4036
0.7638 0.4313 5.8563
Re Er C Si
2 2 1 2
Direct
0.7916 0.3237 0.0931
0.2084 0.6763 0.9069
0.5721 0.1534 0.7024
0.4279 0.8466 0.2976
0.0000 0.0000 0.0000
0.1398 0.3956 0.3249
0.8602 0.6044 0.6751
```

Values from the calculation:
Formation energy (no corrections): -660 meV per atom
Space-group type: C2/m
Calculated total energy: -8.90 eV/atom